Record 1
# SCAN ScIn2Tc, PBEsol geometry
data_ScIn2Tc
_symmetry_space_group_name_H-M 'P m m m'
_symmetry_Int_Tables_number 47
_symmetry_space_group_name_Hall '-P 2 2'
_cell_length_a 3.0706
_cell_length_b 4.1306
_cell_length_c 5.8733
_cell_angle_alpha 90.00
_cell_angle_beta 90.00
_cell_angle_gamma 90.00
loop_
_atom_site_label
_atom_site_fract_x
_atom_site_fract_y
_atom_site_fract_z
Sc1 0.0000 0.0000 0.0000
In1 0.5000 0.5000 0.2653
Tc1 0.0000 0.0000 0.5000
# E above lowest polymorph: 0.22 eV/f.u.
# formation energy from the elements: -2.4 kcal/mol of atoms



Record 2
# SCAN YZrCl2, PBEsol geometry
data_YZrCl2
_symmetry_space_group_name_H-M 'P 4/m m m'
_symmetry_Int_Tables_number 123
_symmetry_space_group_name_Hall '-P 4 2'
_cell_length_a 3.1701
_cell_length_b 3.1701
_cell_length_c 10.8446
_cell_angle_alpha 90.00
_cell_angle_beta 90.00
_cell_angle_gamma 90.00
loop_
_atom_site_label
_atom_site_fract_x
_atom_site_fract_y
_atom_site_fract_z
Y1 0.0000 0.0000 0.0000
Zr1 0.0000 0.0000 0.5000
Cl1 0.5000 0.5000 0.1478
# E above lowest polymorph: 0.85 eV/f.u.
# formation energy (no corrections): -338 kJ/mol of formula units



Record 3
# SCAN BaLaRe2, PBEsol geometry
data_BaLaRe2
_symmetry_space_group_name_H-M 'F m -3 m'
_symmetry_Int_Tables_number 225
_symmetry_space_group_name_Hall '-F 4 2 3'
_cell_length_a 7.2018
_cell_length_b 7.2018
_cell_length_c 7.2018
_cell_angle_alpha 90.00
_cell_angle_beta 90.00
_cell_angle_gamma 90.00
loop_
_atom_site_label
_atom_site_fract_x
_atom_site_fract_y
_atom_site_fract_z
Ba1 0.0000 0.0000 0.0000
La1 0.0000 0.0000 0.5000
Re1 0.2500 0.2500 0.2500
# E above lowest polymorph: 4.30 eV/f.u.
# formation energy from the elements: 35.9 kcal/mol of atoms



Record 4
# SCAN YSbPt, PBEsol geometry
data_YSbPt
_symmetry_space_group_name_H-M 'P 3 m 1'
_symmetry_Int_Tables_number 156
_symmetry_space_group_name_Hall 'P 3 -2"'
_cell_length_a 4.4721
_cell_length_b 4.4721
_cell_length_c 3.8331
_cell_angle_alpha 90.00
_cell_angle_beta 90.00
_cell_angle_gamma 120.00
loop_
_atom_site_label
_atom_site_fract_x
_atom_site_fract_y
_atom_site_fract_z
Y1 0.0000 0.0000 0.0000
Sb1 0.3333 0.6667 0.5098
Pt1 0.6667 0.3333 0.4662
# formation energy (no corrections): -374 kJ/mol of formula units



Record 5
# SCAN MgFe2Si4O12, PBEsol geometry
data_MgFe2Si4O12
_symmetry_space_group_name_H-M 'P c a 21'
_symmetry_Int_Tables_number 29
_symmetry_space_group_name_Hall 'P 2c -2ac'
_cell_length_a 18.2584
_cell_length_b 5.2047
_cell_length_c 9.6886
_cell_angle_alpha 90.00
_cell_angle_beta 90.00
_cell_angle_gamma 90.00
loop_
_atom_site_label
_atom_site_fract_x
_atom_site_fract_y
_atom_site_fract_z
Mg1 0.1243 0.1621 0.0000
Fe1 0.1255 0.1625 0.6976
Fe2 0.1250 0.6633 0.1278
Si1 0.0268 0.0061 0.3229
Si2 0.0292 0.5079 0.4864
Si3 0.2212 0.8281 0.4886
Si4 0.2242 0.3204 0.3248
O1 0.0470 0.3027 0.3621
O2 0.0570 0.7919 0.4340
O3 0.0596 0.4702 0.0174
O4 0.0621 0.0205 0.8327
O5 0.0666 0.9482 0.1732
O6 0.0709 0.4180 0.6234
O7 0.1814 0.9019 0.6309
O8 0.1850 0.3851 0.1757
O9 0.1865 0.3156 0.8338
O10 0.1892 0.8516 0.0125
O11 0.1962 0.0332 0.3685
O12 0.1989 0.5407 0.4356
# formation energy (no corrections): -4801 kJ/mol of formula units



Record 6
# SCAN CaFeNi2, PBEsol geometry
data_CaFeNi2
_symmetry_space_group_name_H-M 'I m m 2'
_symmetry_Int_Tables_number 44
_symmetry_space_group_name_Hall 'I 2 -2'
_cell_length_a 2.7383
_cell_length_b 4.4205
_cell_length_c 9.2940
_cell_angle_alpha 90.00
_cell_angle_beta 90.00
_cell_angle_gamma 90.00
loop_
_atom_site_label
_atom_site_fract_x
_atom_site_fract_y
_atom_site_fract_z
Ca1 0.0000 0.0000 0.0000
Fe1 0.0000 0.5000 0.7861
Ni1 0.0000 0.0000 0.5053
Ni2 0.0000 0.5000 0.2249
# formation energy from the elements: 6.9 kcal/mol of atoms



Record 7
# SCAN BaSi2N2O2, PBEsol geometry
data_BaSi2N2O2
_symmetry_space_group_name_H-M 'P b c n'
_symmetry_Int_Tables_number 60
_symmetry_space_group_name_Hall '-P 2n 2ab'
_cell_length_a 14.4017
_cell_length_b 5.3255
_cell_length_c 4.8388
_cell_angle_alpha 90.00
_cell_angle_beta 90.00
_cell_angle_gamma 90.00
loop_
_atom_site_label
_atom_site_fract_x
_atom_site_fract_y
_atom_site_fract_z
Ba1 0.0000 0.2438 0.2500
Si1 0.1993 0.3376 0.6961
N1 0.2198 0.3668 0.3409
O1 0.0920 0.2592 0.7520
# formation energy (no corrections): -1561 kJ/mol of formula units



Record 8
# SCAN PtRh2, PBEsol geometry
data_PtRh2
_symmetry_space_group_name_H-M 'C 1 m 1'
_symmetry_Int_Tables_number 8
_symmetry_space_group_name_Hall 'C -2y'
_cell_length_a 10.0575
_cell_length_b 2.7000
_cell_length_c 6.4468
_cell_angle_alpha 90.00
_cell_angle_beta 105.87
_cell_angle_gamma 90.00
loop_
_atom_site_label
_atom_site_fract_x
_atom_site_fract_y
_atom_site_fract_z
Pt1 0.0000 0.0000 0.0000
Pt2 0.1688 0.5000 0.3406
Rh1 0.0543 0.0000 0.6155
Rh2 0.2252 0.5000 0.9443
Rh3 0.3338 0.0000 0.6703
Rh4 0.3892 0.0000 0.2825
# E above lowest polymorph: 0.30 eV/f.u.
# formation energy from the elements: 1.5 kcal/mol of atoms